DFT (PBE-GGA) results for a relaxed TcTe2Os crystal.

Calculated values
Its space group is Cm. The value obtained for the raw formation energy is 39 kJ per mole of atoms. For the excess energy over the best structure of this formula in the dataset, the calculation gives 11.2 kJ/mol of atoms.

abc: 5.245 5.245 7.058
angles: 69.58 69.58 34.09
Fractional coordinates of all 4 atoms:
Tc (0.232, 0.232, 0.375)
Te (0.807, 0.807, 0.638)
Te (0.942, 0.942, 0.112)
Os (0.520, 0.520, 0.375)